No. 1
The following is a GGA-PBE calculation of MnAl2Zn after structural relaxation, from the Alexandria database.

POSCAR file:
```
MnAl2Zn
1.0
4.6406 0.0000 0.0000
0.0000 2.7933 0.0000
-1.8045 0.0000 4.4559
Mn Al Zn
1 2 1
direct
0.0000 0.0000 0.0000
0.5000 0.0000 0.5000
0.5000 0.5000 0.0000
0.0000 0.5000 0.5000
```

Calculated values
DFT total energy	-4.56	eV/atom
energy of formation	-0.3	eV/f.u.
magnetic moment	0.650	μB/atom

=====

No. 2
The following is a GGA-PBE calculation of SmPa3P4 after structural relaxation, from the Alexandria database.

POSCAR file:
```
SmPa3P4
1.0
7.9878 0.0000 0.0000
0.0000 11.3037 0.0000
0.0000 0.0000 3.9963
Sm Pa P
2 6 8
direct
0.0000 0.0000 0.0000
0.5000 0.5000 0.0000
0.0000 0.5000 0.0000
0.2500 0.2500 0.5000
0.2500 0.7500 0.5000
0.5000 0.0000 0.0000
0.7500 0.2500 0.5000
0.7500 0.7500 0.5000
0.0000 0.2521 0.0000
0.0000 0.7479 0.0000
0.2439 0.5000 0.5000
0.2561 0.0000 0.5000
0.5000 0.2479 0.0000
0.5000 0.7521 0.0000
0.7439 0.0000 0.5000
0.7561 0.5000 0.5000
```

Calculated values
DFT total energy	-8.23	eV/atom
energy of formation	-11.0	eV/f.u.
magnetic moment	0.000	μB/atom

=====

No. 3
The following is a GGA-PBE calculation of TeRh2Pb after structural relaxation, from the Alexandria database.

POSCAR file:
```
TeRh2Pb
1.0
3.9522 0.0000 0.0000
0.0000 3.9522 0.0000
0.0000 0.0000 10.0095
Te Rh Pb
2 4 2
direct
0.0000 0.0000 0.0000
0.5000 0.5000 0.5000
0.0000 0.0000 0.5000
0.0000 0.5000 0.2500
0.5000 0.0000 0.7500
0.5000 0.5000 0.0000
0.0000 0.5000 0.7500
0.5000 0.0000 0.2500
```

Calculated values
DFT total energy	-5.27	eV/atom
magnetic moment	0.000	μB/atom

=====

No. 4
The following is a GGA-PBE calculation of TlTcSeBr2 after structural relaxation, from the Alexandria database.

POSCAR file:
```
TlTcSeBr2
1.0
5.4055 0.0000 0.0000
0.0000 5.4055 0.0000
0.0000 0.0000 4.7360
Tl Tc Se Br
1 1 1 2
direct
0.0000 0.0000 0.0000
0.5000 0.5000 0.5000
0.5000 0.5000 0.0000
0.0000 0.5000 0.5000
0.5000 0.0000 0.5000
```

Calculated values
DFT total energy	-4.07	eV/atom
magnetic moment	0.145	μB/atom

=====

Copy entry 2 word for word.
The following is a GGA-PBE calculation of SmPa3P4 after structural relaxation, from the Alexandria database.

POSCAR file:
```
SmPa3P4
1.0
7.9878 0.0000 0.0000
0.0000 11.3037 0.0000
0.0000 0.0000 3.9963
Sm Pa P
2 6 8
direct
0.0000 0.0000 0.0000
0.5000 0.5000 0.0000
0.0000 0.5000 0.0000
0.2500 0.2500 0.5000
0.2500 0.7500 0.5000
0.5000 0.0000 0.0000
0.7500 0.2500 0.5000
0.7500 0.7500 0.5000
0.0000 0.2521 0.0000
0.0000 0.7479 0.0000
0.2439 0.5000 0.5000
0.2561 0.0000 0.5000
0.5000 0.2479 0.0000
0.5000 0.7521 0.0000
0.7439 0.0000 0.5000
0.7561 0.5000 0.5000
```

Calculated values
DFT total energy	-8.23	eV/atom
energy of formation	-11.0	eV/f.u.
magnetic moment	0.000	μB/atom

=====

> Among the records above, which one has the highest DFT total energy?

TlTcSeBr2